DFT (PBE) results for a geometry-optimized BeAl2Cr structure.

a b c (Å): 3.0106 3.0106 5.7098
angles (deg): 90.00 90.00 90.00
Last column: nearest neighbours and their distance in Å.
Space group P4/mmm (No. 123)
Inequivalent atoms, fractional coordinates:
Be  0.0000  0.0000  0.0000 x1  8 Al 2.54
Al  0.5000  0.5000  0.2431 x2  4 Be 2.54, 4 Cr 2.59, 1 Al 2.78
Cr  0.0000  0.0000  0.5000 x1  8 Al 2.59, 2 Be 2.85

Results
Energy of formation = 53 meV per atom
DFT total energy = -5.156 eV/atom

***

DFT (PBE) results for a geometry-optimized BeAl2Cr structure.

a b c (Å): 2.5902 3.9933 4.9853
angles (deg): 90.00 100.31 90.00
Last column: nearest neighbours and their distance in Å.
Space group P2/m (No. 10)
Inequivalent atoms, fractional coordinates:
Be  0.0000  0.0000  0.0000 x1  4 Al 2.42, 2 Be 2.59, 2 Cr 2.60
Al  0.1544  0.5000  0.7514 x2  2 Be 2.42, 3 Al 2.49-2.59, 2 Cr 2.60
Cr  0.5000  0.0000  0.5000 x1  2 Cr 2.59, 2 Be 2.60, 8 Al 2.60-2.77

Results
Energy of formation = 105 meV per atom
DFT total energy = -5.103 eV/atom

***

DFT (PBE) results for a geometry-optimized BeAl4Cr2 structure.

a b c (Å): 4.2558 4.2558 12.9334
angles (deg): 90.00 90.00 90.00
Last column: nearest neighbours and their distance in Å.
Space group I4/mmm (No. 139)
Inequivalent atoms, fractional coordinates:
Be  0.0000  0.0000  0.0000 x2  6 Al 2.13-2.33
Al  0.0000  0.0000  0.1802 x4  1 Be 2.33, 1 Cr 2.57
Al  0.0000  0.5000  0.0000 x4  2 Be 2.13
Cr  0.0000  0.0000  0.3785 x4  5 Al 2.57-2.65

Results
Energy of formation = 588 meV per atom
DFT total energy = -4.833 eV/atom

***

DFT (PBE) results for a geometry-optimized BeAlCr structure.

a b c (Å): 3.0558 4.0000 11.5993
angles (deg): 90.00 90.00 90.00
Last column: nearest neighbours and their distance in Å.
Space group Fmm2 (No. 42)
Inequivalent atoms, fractional coordinates:
Be  0.0000  0.0000  0.0000 x4  2 Cr 2.33, 4 Be 2.52, 2 Al 2.52
Al  0.0000  0.0000  0.6726 x4  4 Al 2.52, 2 Be 2.52, 2 Cr 2.54
Cr  0.0000  0.0000  0.3479 x4  2 Be 2.33, 4 Cr 2.52, 2 Al 2.54

Results
Energy of formation = 174 meV per atom
Energy relative to the lowest polymorph listed for this composition = 0.165 eV per atom
DFT total energy = -5.523 eV/atom

***

DFT (PBE) results for a geometry-optimized BeAlCr2 structure.

a b c (Å): 2.5246 3.9842 4.6433
angles (deg): 90.00 96.58 90.00
Last column: nearest neighbours and their distance in Å.
Space group Pm (No. 6)
Inequivalent atoms, fractional coordinates:
Be  0.0000  0.0000  0.0000 x1  3 Cr 2.35-2.46, 2 Al 2.39, 2 Be 2.52
Al  0.0876  0.5000  0.7248 x1  2 Be 2.39, 4 Cr 2.48-2.57, 2 Al 2.52
Cr  0.4742  0.0000  0.4669 x1  1 Be 2.35, 4 Cr 2.36-2.52, 2 Al 2.57
Cr  0.6376  0.5000  0.2206 x1  4 Cr 2.36-2.52, 2 Be 2.46, 2 Al 2.48-2.55

Results
Energy of formation = -21 meV per atom
DFT total energy = -6.700 eV/atom

***

DFT (PBE) results for a geometry-optimized BeAlCr structure.

a b c (Å): 5.4885 5.4885 5.4885
angles (deg): 90.00 90.00 90.00
Last column: nearest neighbours and their distance in Å.
Space group F-43m (No. 216)
Inequivalent atoms, fractional coordinates:
Be  0.0000  0.0000  0.0000 x4  4 Cr 2.38, 4 Al 2.38
Al  0.2500  0.2500  0.7500 x4  4 Be 2.38
Cr  0.2500  0.2500  0.2500 x4  4 Be 2.38

Results
Energy of formation = 222 meV per atom
Energy relative to the lowest polymorph listed for this composition = 0.213 eV per atom
DFT total energy = -5.475 eV/atom